(a)
Below is crystalline CsAs2HSe at its relaxed geometry, with properties calculated at the PBE level.

* D(E_F): 5.618 states/eV/cell
* size of the total moment: 3.51 μB per formula unit

Structure (CIF):
```
data_CsAs2HSe
_chemical_formula_sum 'Cs1 As2 H1 Se1'
_space_group_name_H-M_alt 'P 4/m m m'
_space_group_IT_number 123
_space_group_name_Hall '-P 4 2'
_cell_length_a 6.016
_cell_length_b 6.016
_cell_length_c 5.917
_cell_angle_alpha 90.00
_cell_angle_beta 90.00
_cell_angle_gamma 90.00
loop_
_atom_site_label
_atom_site_fract_x
_atom_site_fract_y
_atom_site_fract_z
_atom_site_occupancy
Cs1 0.000 0.000 0.000 1
As1 0.000 0.500 0.000 1
H1 0.500 0.500 0.500 1
Se1 0.000 0.000 0.500 1
```

---

(b)
Below is crystalline CsAs2HSe at its relaxed geometry, with properties calculated at the PBE level.

* D(E_F): 2.568 states/eV/cell
* size of the total moment: 0.00 μB per formula unit

Structure (CIF):
```
data_CsAs2HSe
_chemical_formula_sum 'Cs1 As2 H1 Se1'
_space_group_name_H-M_alt 'P 4/m m m'
_space_group_IT_number 123
_space_group_name_Hall '-P 4 2'
_cell_length_a 4.613
_cell_length_b 4.613
_cell_length_c 5.242
_cell_angle_alpha 90.00
_cell_angle_beta 90.00
_cell_angle_gamma 90.00
loop_
_atom_site_label
_atom_site_fract_x
_atom_site_fract_y
_atom_site_fract_z
_atom_site_occupancy
Cs1 0.000 0.000 0.000 1
As1 0.000 0.500 0.500 1
H1 0.500 0.500 0.500 1
Se1 0.500 0.500 0.000 1
```

---

Least stable of them? (a).